(1)
Computed, not measured: As after structural relaxation at the PBE level of DFT.

```
As
1.0
-2.365 2.365 2.221
2.365 -2.365 2.221
2.365 2.365 -2.221
As
2
direct
0.375 0.625 0.750 As
0.625 0.375 0.250 As
```

Values from the calculation:
Calculated volume = 49.7 Å³ per cell
Formation enthalpy at 0 K = 0.2686 eV per atom
Distance to the lowest polymorph of the same formula = 269 meV per atom
Magnetization = 0.0 μB per formula unit
Crystal system = tetragonal
N(E_F) = 0.642 states/eV/f.u.


(2)
Computed, not measured: AsAu after structural relaxation at the PBE level of DFT.

```
AsAu
1.0
3.820 0.000 0.000
0.000 3.820 0.000
0.000 0.000 2.745
As Au
1 1
direct
0.000 0.000 0.000 As
0.500 0.500 0.000 Au
```

Values from the calculation:
Calculated volume = 40.1 Å³ per cell
Formation enthalpy at 0 K = 0.0961 eV per atom
Magnetization = 0.0 μB per formula unit
Crystal system = tetragonal
N(E_F) = 0.449 states/eV/f.u.


(3)
Computed, not measured: AsAu4 after structural relaxation at the PBE level of DFT.

```
AsAu4
1.0
-3.336 3.336 2.058
3.336 -3.336 2.058
3.336 3.336 -2.058
As Au
1 4
direct
0.000 0.000 0.000 As
0.200 0.398 0.599 Au
0.398 0.800 0.198 Au
0.602 0.200 0.802 Au
0.800 0.602 0.401 Au
```

Values from the calculation:
Calculated volume = 91.6 Å³ per cell
Formation enthalpy at 0 K = 0.1117 eV per atom
Distance to the lowest polymorph of the same formula = 0 meV per atom
Magnetization = 0.0 μB per formula unit
Crystal system = tetragonal
N(E_F) = 0.935 states/eV/f.u.


(4)
Computed, not measured: AsAu7 after structural relaxation at the PBE level of DFT.

```
AsAu7
1.0
0.000 4.185 4.185
4.185 0.000 4.185
4.185 4.185 0.000
As Au
1 7
direct
0.000 0.000 0.000 As
0.000 0.000 0.500 Au
0.000 0.500 0.000 Au
0.000 0.500 0.500 Au
0.500 0.000 0.000 Au
0.500 0.000 0.500 Au
0.500 0.500 0.000 Au
0.500 0.500 0.500 Au
```

Values from the calculation:
Calculated volume = 146.6 Å³ per cell
Formation enthalpy at 0 K = 0.0970 eV per atom
Magnetization = 0.0 μB per formula unit
Crystal system = cubic
N(E_F) = 5.394 states/eV/f.u.


(5)
Computed, not measured: AsAu after structural relaxation at the PBE level of DFT.

```
AsAu
1.0
0.000 3.375 3.375
3.375 0.000 3.375
3.375 3.375 0.000
As Au
2 2
direct
0.125 0.125 0.125 As
0.875 0.875 0.875 As
0.375 0.375 0.375 Au
0.625 0.625 0.625 Au
```

Values from the calculation:
Calculated volume = 76.9 Å³ per cell
Formation enthalpy at 0 K = 0.3176 eV per atom
Magnetization = 0.0 μB per formula unit
Crystal system = cubic
N(E_F) = 0.776 states/eV/f.u.


(6)
Computed, not measured: As3Au after structural relaxation at the PBE level of DFT.

```
As3Au
1.0
2.786 0.000 0.000
0.000 5.015 0.000
0.000 0.000 5.709
As Au
3 1
direct
0.000 0.000 0.000 As
0.500 0.500 0.279 As
0.500 0.500 0.721 As
0.000 0.000 0.500 Au
```

Values from the calculation:
Calculated volume = 79.8 Å³ per cell
Formation enthalpy at 0 K = 0.4003 eV per atom
Distance to the lowest polymorph of the same formula = 349 meV per atom
Magnetization = 0.0 μB per formula unit
Crystal system = orthorhombic
N(E_F) = 2.751 states/eV/f.u.


(7)
Computed, not measured: As2Au3 after structural relaxation at the PBE level of DFT.

```
As2Au3
1.0
3.213 1.855 6.265
-3.213 1.855 6.265
0.000 -3.711 6.265
As Au
4 6
direct
0.126 0.126 0.126 As
0.374 0.374 0.374 As
0.626 0.626 0.626 As
0.874 0.874 0.874 As
0.006 0.750 0.494 Au
0.250 0.506 0.994 Au
0.494 0.006 0.750 Au
0.506 0.994 0.250 Au
0.750 0.494 0.006 Au
0.994 0.250 0.506 Au
```

Values from the calculation:
Calculated volume = 224.1 Å³ per cell
Formation enthalpy at 0 K = 0.1756 eV per atom
Magnetization = 0.0 μB per formula unit
Crystal system = trigonal
N(E_F) = 3.114 states/eV/f.u.


(8)
Computed, not measured: AsAu after structural relaxation at the PBE level of DFT.

```
AsAu
1.0
6.216 0.000 0.000
0.000 6.900 0.000
0.000 0.000 8.104
As Au
8 8
direct
0.050 0.126 0.123 As
0.050 0.374 0.623 As
0.450 0.626 0.123 As
0.450 0.874 0.623 As
0.550 0.126 0.377 As
0.550 0.374 0.877 As
0.950 0.626 0.377 As
0.950 0.874 0.877 As
0.185 0.566 0.879 Au
0.185 0.934 0.379 Au
0.315 0.066 0.879 Au
0.315 0.434 0.379 Au
0.685 0.566 0.621 Au
0.685 0.934 0.121 Au
0.815 0.066 0.621 Au
0.815 0.434 0.121 Au
```

Values from the calculation:
Calculated volume = 347.6 Å³ per cell
Formation enthalpy at 0 K = 0.0559 eV per atom
Magnetization = 0.0 μB per formula unit
Crystal system = orthorhombic
N(E_F) = 0.303 states/eV/f.u.


(9)
Computed, not measured: AsAu2 after structural relaxation at the PBE level of DFT.

```
AsAu2
1.0
4.872 0.000 0.000
-2.436 4.219 0.000
0.000 0.000 2.838
As Au
1 2
direct
0.000 0.000 0.000 As
0.333 0.667 0.000 Au
0.667 0.333 0.000 Au
```

Values from the calculation:
Calculated volume = 58.3 Å³ per cell
Formation enthalpy at 0 K = 0.1258 eV per atom
Magnetization = 0.0 μB per formula unit
Crystal system = hexagonal
N(E_F) = 0.410 states/eV/f.u.


(10)
Computed, not measured: AsAu6 after structural relaxation at the PBE level of DFT.

```
AsAu6
1.0
-3.755 3.755 3.755
3.755 -3.755 3.755
3.755 3.755 -3.755
As Au
1 6
direct
0.000 0.000 0.000 As
0.250 0.500 0.750 Au
0.250 0.750 0.500 Au
0.500 0.250 0.750 Au
0.500 0.750 0.250 Au
0.750 0.250 0.500 Au
0.750 0.500 0.250 Au
```

Values from the calculation:
Calculated volume = 211.8 Å³ per cell
Formation enthalpy at 0 K = 0.8928 eV per atom
Magnetization = 2.4 μB per formula unit
Crystal system = cubic
N(E_F) = 3.501 states/eV/f.u.


(11)
Computed, not measured: AsAu after structural relaxation at the PBE level of DFT.

```
AsAu
1.0
6.211 -1.473 0.000
6.211 1.473 0.000
-5.124 0.000 6.579
As Au
3 3
direct
0.000 0.000 0.000 As
0.076 0.076 0.530 As
0.309 0.309 0.594 As
0.394 0.394 0.154 Au
0.636 0.636 0.847 Au
0.742 0.742 0.273 Au
```

Values from the calculation:
Calculated volume = 120.4 Å³ per cell
Formation enthalpy at 0 K = 0.1564 eV per atom
Magnetization = 0.0 μB per formula unit
Crystal system = monoclinic
N(E_F) = 0.673 states/eV/f.u.


(12)
Computed, not measured: AsAu after structural relaxation at the PBE level of DFT.

```
AsAu
1.0
0.000 4.539 5.753
4.274 0.000 5.753
4.274 4.539 0.000
As Au
4 4
direct
0.016 0.734 0.734 As
0.266 0.984 0.984 As
0.734 0.016 0.016 As
0.984 0.266 0.266 As
0.104 0.104 0.646 Au
0.354 0.354 0.896 Au
0.646 0.646 0.104 Au
0.896 0.896 0.354 Au
```

Values from the calculation:
Calculated volume = 223.2 Å³ per cell
Formation enthalpy at 0 K = 0.2383 eV per atom
Magnetization = 0.0 μB per formula unit
Crystal system = orthorhombic
N(E_F) = 0.661 states/eV/f.u.